! MgSe, relaxed, DFT PBEsol; values from VASP
&SYSTEM
  ibrav = 0, nat = 6, ntyp = 2
/
ATOMIC_SPECIES
Mg 24.30 Mg.upf
Se 78.96 Se.upf
ATOMIC_POSITIONS crystal
Mg 0.000 0.000 0.000
Mg 0.000 0.500 0.500
Mg 0.500 0.000 0.500
Se 0.000 0.000 0.500
Se 0.000 0.500 0.000
Se 0.500 0.000 0.000
CELL_PARAMETERS angstrom
5.547 0.000 0.000
0.000 5.547 0.000
0.000 0.000 5.087
! * energy relative to the elements, uncorrected: -0.825 eV/atom
! * magnetization: 0.00 μB per formula unit
! * electronic total energy: -3.6083 eV per atom

=====

! Zn2AsPb, relaxed, DFT PBEsol; values from VASP
&SYSTEM
  ibrav = 0, nat = 4, ntyp = 3
/
ATOMIC_SPECIES
Zn 65.41 Zn.upf
As 74.92 As.upf
Pb 207.20 Pb.upf
ATOMIC_POSITIONS crystal
Zn 0.000 0.000 0.000
Zn 0.000 0.500 0.500
As 0.500 0.000 0.500
Pb 0.500 0.500 0.000
CELL_PARAMETERS angstrom
3.982 0.000 0.000
0.000 3.985 0.000
0.000 0.000 5.069
! * magnetization: 0.00 μB per formula unit
! * energy relative to the elements: 0.23 eV per atom
! * electronic total energy: -2.8361 eV per atom

=====

! NdSi2Ni2, relaxed, DFT PBEsol; values from VASP
&SYSTEM
  ibrav = 0, nat = 5, ntyp = 3
/
ATOMIC_SPECIES
Nd 144.24 Nd.upf
Si 28.09 Si.upf
Ni 58.69 Ni.upf
ATOMIC_POSITIONS crystal
Nd 0.000 0.000 0.000
Si 0.369 0.369 0.000
Si 0.631 0.631 0.000
Ni 0.250 0.750 0.500
Ni 0.750 0.250 0.500
CELL_PARAMETERS angstrom
-2.004 2.004 4.752
2.004 -2.004 4.752
2.004 2.004 -4.752
! * energy relative to the elements, uncorrected: -0.869 eV/atom
! * magnetization: 0.00 μB per formula unit
! * electronic total energy: -6.6644 eV per atom

=====

! ScBiI2O, relaxed, DFT PBEsol; values from VASP
&SYSTEM
  ibrav = 0, nat = 5, ntyp = 4
/
ATOMIC_SPECIES
Sc 44.96 Sc.upf
Bi 208.98 Bi.upf
I 126.90 I.upf
O 16.00 O.upf
ATOMIC_POSITIONS crystal
Sc 0.000 0.000 0.000
Bi 0.500 0.500 0.500
I 0.000 0.500 0.000
I 0.500 0.000 0.000
O 0.000 0.000 0.500
CELL_PARAMETERS angstrom
5.922 0.000 0.000
0.000 5.922 0.000
0.000 0.000 3.833
! * energy relative to the elements, uncorrected: -1.108 eV/atom
! * magnetization: 0.00 μB per formula unit
! * electronic total energy: -5.0432 eV per atom

=====

What is the formula in the third record? NdSi2Ni2

=====

The highest electronic total energy belongs to which entry? Zn2AsPb